Model 1:
Computed, not measured: Mn3NbO after structural relaxation at the PBE+U level of DFT.

Cell: 4.3035 4.3035 4.3035 Å, 90.00 90.00 90.00°
Last column: magnetic moment on the atom in μB.
Sites, in units of the cell vectors:
Mn (0.0000, 0.0000, 0.5000)  4.26
O (0.0000, 0.0000, 0.0000)  -0.07
Mn (0.0000, 0.5000, 0.0000)  4.28
Nb (0.5000, 0.5000, 0.5000)  -1.85
Mn (0.5000, 0.0000, 0.0000)  4.19

Summary:
The space group is Pm-3m, No. 221. For the calculated volume, the calculation gives 79.7 Å³/cell. The density of states at the Fermi level comes out at 4.27 states/eV/f.u.



Model 2:
Computed, not measured: Mn3NbO after structural relaxation at the PBE+U level of DFT.

Cell: 5.1475 5.1475 5.1475 Å, 90.00 90.00 90.00°
Last column: magnetic moment on the atom in μB.
Sites, in units of the cell vectors:
Mn (0.0000, 0.0000, 0.5000)  4.29
Nb (0.0000, 0.0000, 0.0000)  -2.36
O (0.5000, 0.5000, 0.5000)  -0.82
Mn (0.0000, 0.5000, 0.0000)  4.37
Mn (0.5000, 0.0000, 0.0000)  4.45

Summary:
The space group is Pm-3m, No. 221. For the calculated volume, the calculation gives 136.4 Å³/cell. The density of states at the Fermi level comes out at 4.12 states/eV/f.u.



Which one sits at the top of the stability order? model 1 does.



Model 1:
Computed, not measured: MnNbPO2 after structural relaxation at the PBE+U level of DFT.

Cell: 3.6989 3.6989 5.0424 Å, 90.00 90.00 90.00°
Last column: magnetic moment on the atom in μB.
Sites, in units of the cell vectors:
Nb (0.5000, 0.5000, 0.5000)  1.14
O (0.5000, 0.0000, 0.0000)  -0.04
Mn (0.0000, 0.0000, 0.0000)  3.51
P (0.0000, 0.0000, 0.5000)  -0.13
O (0.0000, 0.5000, 0.0000)  -0.04

Summary:
The space group is P4/mmm, No. 123. For the calculated volume, the calculation gives 69.0 Å³/cell. The density of states at the Fermi level comes out at 2.88 states/eV/f.u.



Model 2:
Computed, not measured: MnNbPO2 after structural relaxation at the PBE+U level of DFT.

Cell: 3.9137 3.9137 5.2872 Å, 90.00 90.00 90.00°
Last column: magnetic moment on the atom in μB.
Sites, in units of the cell vectors:
P (0.0000, 0.0000, 0.5000)  -0.06
O (0.5000, 0.0000, 0.0000)  0.01
Nb (0.0000, 0.0000, 0.0000)  0.11
O (0.0000, 0.5000, 0.0000)  0.01
Mn (0.5000, 0.5000, 0.5000)  4.63

Summary:
The space group is P4/mmm, No. 123. For the calculated volume, the calculation gives 81.0 Å³/cell. The density of states at the Fermi level comes out at 0.52 states/eV/f.u.



Which one sits at the top of the stability order? model 2 does.



Model 1:
Computed, not measured: TaMnNbO6 after structural relaxation at the PBE+U level of DFT.

Cell: 5.1458 5.8808 14.6243 Å, 90.00 90.00 90.00°
Last column: magnetic moment on the atom in μB.
Sites, in units of the cell vectors:
O (0.1891, 0.3509, 0.0997)  0.01
O (0.1657, 0.8819, 0.7455)  0.01
Mn (0.0000, 0.0682, 0.5000)  4.63
Ta (0.5119, 0.9245, 0.3363)  0.05
O (0.8465, 0.8721, 0.9176)  0.01
O (0.1535, 0.8721, 0.0824)  0.01
Nb (0.4875, 0.4317, 0.8388)  0.08
O (0.8109, 0.3509, 0.9003)  0.01
Ta (0.9881, 0.0755, 0.8363)  0.05
O (0.6535, 0.1279, 0.4176)  0.01
O (0.1906, 0.8475, 0.4005)  0.01
O (0.8343, 0.8819, 0.2545)  0.01
O (0.3468, 0.6352, 0.9192)  0.01
Nb (0.0125, 0.5683, 0.3388)  0.08
O (0.8432, 0.3780, 0.2434)  0.01
Nb (0.9875, 0.5683, 0.6612)  0.08
O (0.3094, 0.1525, 0.9005)  0.01
Mn (0.5000, 0.4169, 0.5000)  4.63
O (0.6532, 0.6352, 0.0808)  0.01
O (0.3465, 0.1279, 0.5824)  0.01
O (0.8094, 0.8475, 0.5995)  0.01
Nb (0.5125, 0.4317, 0.1612)  0.08
O (0.3432, 0.6220, 0.2566)  0.01
O (0.6891, 0.6491, 0.4003)  0.01
O (0.3343, 0.1181, 0.2455)  0.01
O (0.6906, 0.1525, 0.0995)  0.01
O (0.6657, 0.1181, 0.7545)  0.01
O (0.3109, 0.6491, 0.5997)  0.01
Ta (0.4881, 0.9245, 0.6637)  0.05
O (0.6568, 0.6220, 0.7434)  0.01
O (0.8468, 0.3648, 0.5808)  0.01
Mn (0.5000, 0.9318, 0.0000)  4.63
Mn (0.0000, 0.5831, 0.0000)  4.63
O (0.1532, 0.3648, 0.4192)  0.01
O (0.1568, 0.3780, 0.7566)  0.01
Ta (0.0119, 0.0755, 0.1637)  0.05

Summary:
The space group is P2_12_12, No. 18. For the calculated volume, the calculation gives 442.6 Å³/cell. The density of states at the Fermi level comes out at 0.00 states/eV/f.u.



Model 2:
Computed, not measured: TaMnNbO6 after structural relaxation at the PBE+U level of DFT.

Cell: 4.8458 4.8458 9.4026 Å, 90.00 90.00 90.00°
Last column: magnetic moment on the atom in μB.
Sites, in units of the cell vectors:
Ta (0.5000, 0.5000, 0.8328)  0.04
Nb (0.0000, 0.0000, 0.6681)  0.08
O (0.6852, 0.6852, 0.9987)  0.01
Ta (0.0000, 0.0000, 0.3328)  0.04
O (0.8148, 0.1852, 0.4987)  0.01
O (0.2942, 0.2942, 0.6821)  0.01
O (0.7058, 0.7058, 0.6821)  0.01
O (0.3148, 0.3148, 0.9987)  0.01
O (0.7921, 0.2079, 0.8186)  0.01
O (0.2079, 0.7921, 0.8186)  0.01
Mn (0.0000, 0.0000, 0.0002)  4.61
O (0.1852, 0.8148, 0.4987)  0.01
O (0.7079, 0.7079, 0.3186)  0.01
O (0.7942, 0.2058, 0.1821)  0.01
Nb (0.5000, 0.5000, 0.1681)  0.08
O (0.2058, 0.7942, 0.1821)  0.01
O (0.2921, 0.2921, 0.3186)  0.01
Mn (0.5000, 0.5000, 0.5002)  4.61

Summary:
The space group is P4_2nm, No. 102. For the calculated volume, the calculation gives 220.8 Å³/cell. The density of states at the Fermi level comes out at 0.00 states/eV/f.u.



Which one sits at the top of the stability order? model 1 does.